The following is a GGA-PBE calculation of a geometry-optimized Tb2CeRh2 structure, from Alexandria.

Lattice parameters (Å, degrees): 5.959 14.354 5.589 90.00 90.00 90.00
Space group Cmcm (No. 63)
One atom of each set of equivalent atoms:
Tb1 0.000 0.086 0.250 (multiplicity 4)
Tb2 0.000 0.281 0.750 (multiplicity 4)
Ce1 0.000 0.500 0.000 (multiplicity 4)
Rh1 0.242 0.123 0.750 (multiplicity 8)

Calculated density, kg/m³: 9221
E, eV/atom: -6.4156
Offset from the most stable computed form, eV per formula unit: 0.793
Energy of formation from the pure elements, eV per formula unit: -2.2